[1]
AlCoNiOs: relaxed, PBE.

Calculated values
The calculated total energy is -6.96 eV per atom.

```
4
Lattice="-3.803 1.151 1.123 -3.019 0.177 -2.812 -3.059 -2.773 0.077" Properties=species:S:1:pos:R:3 pbc="T T T"
Al 0.000 0.000 0.000
Co -7.410 -1.083 -1.209
Ni -2.470 -0.361 -0.403
Os -4.940 -0.722 -0.806
```



[2]
AlCoNiOs: relaxed, PBE.

Calculated values
The calculated total energy is -6.97 eV per atom.

```
4
Lattice="-2.276 2.532 2.306 -2.131 3.038 -1.772 -4.104 -0.195 -0.170" Properties=species:S:1:pos:R:3 pbc="T T T"
Al 0.000 0.000 0.000
Co -6.383 4.031 0.273
Ni -4.255 2.687 0.182
Os -2.128 1.344 0.091
```



[3]
ScAlCoNi: relaxed, PBE.

Calculated values
The calculated total energy is -5.85 eV per atom.

```
4
Lattice="-3.610 -1.082 2.036 -3.020 -2.246 -2.044 -0.717 -4.087 1.062" Properties=species:S:1:pos:R:3 pbc="T T T"
Al 0.000 0.000 0.000
Co -3.673 -3.708 0.527
Ni -5.510 -5.561 0.790
Sc -1.837 -1.854 0.263
```



Number 1: total magnetic moment 2.04 μB/f.u., distance to the lowest polymorph of the same formula 0.03 eV/f.u.. Number 2: total magnetic moment 1.74 μB/f.u., distance to the lowest polymorph of the same formula 0.00 eV/f.u.. Number 3: total magnetic moment 1.00 μB/f.u., distance to the lowest polymorph of the same formula 1.53 eV/f.u..